Pr3RuI3 | GGA-PBEsol | relaxed

Results
Calculated total energy ... -5.4017 eV per atom
Raw formation energy ... -0.9694 eV/atom
Calculated density ... 6.29 g cm⁻³
Crystal system ... monoclinic
Total magnetic moment ... 0.000 μB/atom
SG ... P2_1/m, No. 11

```
data_Pr3RuI3
_space_group_name_H-M_alt 'P 1'
_space_group_IT_number 1
_cell_length_a 4.227
_cell_length_b 9.165
_cell_length_c 12.355
_cell_angle_alpha 93.10
_cell_angle_beta 90.00
_cell_angle_gamma 90.00
loop_
_space_group_symop_operation_xyz
'x,y,z'
loop_
_atom_site_label
_atom_site_fract_x
_atom_site_fract_y
_atom_site_fract_z
Pr1 0.750 0.690 0.882
Pr2 0.250 0.310 0.118
Pr3 0.250 0.886 0.665
Pr4 0.750 0.114 0.335
Pr5 0.250 0.898 0.112
Pr6 0.750 0.102 0.888
Ru1 0.250 0.893 0.881
Ru2 0.750 0.107 0.119
I1 0.250 0.857 0.385
I2 0.750 0.143 0.615
I3 0.750 0.628 0.622
I4 0.250 0.372 0.378
I5 0.250 0.397 0.863
I6 0.750 0.603 0.137
```